Record 1
Si2HgAu after structural relaxation. Source: the Alexandria database, functional PBE-GGA.

a b c (Å): 5.419 5.280 4.134
angles (deg): 69.06 65.50 45.44
Atoms (fractional coordinates):
Si 0.000 0.500 0.500
Si 0.500 0.000 0.000
Hg 0.000 0.000 0.000
Au 0.500 0.500 0.500

Results
Its total magnetization is 0.000 Bohr magnetons per cell. Its space group is Fmmm (69). As for the calculated volume: 76.28 Å³/f.u. The formation energy without anion corrections is 0.37 eV per atom.

=====

Record 2
ScBiPt2 after structural relaxation. Source: the Alexandria database, functional PBE-GGA.

a b c (Å): 9.828 9.828 9.828
angles (deg): 155.05 155.05 35.57
Atoms (fractional coordinates):
Sc 0.000 0.000 0.000
Sc 0.750 0.250 0.500
Bi 0.250 0.750 0.500
Bi 0.500 0.500 0.000
Pt 0.111 0.625 0.986
Pt 0.375 0.361 0.486
Pt 0.639 0.125 0.014
Pt 0.875 0.889 0.514

Results
Its total magnetization is 0.000 Bohr magnetons per cell. Its space group is I-42d (122). As for the calculated volume: 84.35 Å³/f.u. Its uncorrected energy is -23.7 eV/f.u.

=====

Record 3
CdRe2PbO8 after structural relaxation. Source: the Alexandria database, functional PBE-GGA.

a b c (Å): 6.680 6.680 7.158
angles (deg): 103.91 103.91 58.81
Atoms (fractional coordinates):
Cd 0.000 0.000 0.000
Re 0.198 0.198 0.633
Re 0.802 0.802 0.367
Pb 0.500 0.500 0.500
O 0.087 0.649 0.295
O 0.164 0.164 0.381
O 0.351 0.913 0.705
O 0.356 0.356 0.723
O 0.644 0.644 0.277
O 0.649 0.087 0.295
O 0.836 0.836 0.619
O 0.913 0.351 0.705

Results
Its total magnetization is 0.000 Bohr magnetons per cell. Its space group is C2/m (12). As for the calculated volume: 262.64 Å³/f.u. The formation energy without anion corrections is -1.36 eV per atom.

=====

Record 4
La2Be4IrPt3 after structural relaxation. Source: the Alexandria database, functional PBE-GGA.

a b c (Å): 4.106 4.106 9.757
angles (deg): 90.00 90.00 90.00
Atoms (fractional coordinates):
La 0.000 0.500 0.246
La 0.500 0.000 0.754
Be 0.000 0.000 0.500
Be 0.000 0.500 0.888
Be 0.500 0.000 0.112
Be 0.500 0.500 0.500
Ir 0.500 0.500 0.000
Pt 0.000 0.000 0.000
Pt 0.000 0.500 0.621
Pt 0.500 0.000 0.379

Results
Its total magnetization is 0.000 Bohr magnetons per cell. Its space group is P-4m2 (115). As for the calculated volume: 164.50 Å³/f.u. Its uncorrected energy is -59.8 eV/f.u.

=====

Record 5
BaTlPbO3 after structural relaxation. Source: the Alexandria database, functional PBE-GGA.

a b c (Å): 7.336 3.558 9.871
angles (deg): 90.00 94.02 90.00
Atoms (fractional coordinates):
Ba 0.138 0.250 0.180
Ba 0.862 0.750 0.820
Tl 0.202 0.250 0.557
Tl 0.798 0.750 0.443
Pb 0.353 0.750 0.872
Pb 0.647 0.250 0.128
O 0.117 0.750 0.398
O 0.139 0.250 0.903
O 0.405 0.750 0.099
O 0.595 0.250 0.901
O 0.861 0.750 0.097
O 0.883 0.250 0.602

Results
Its total magnetization is 0.000 Bohr magnetons per cell. Its space group is P2_1/m (11). As for the calculated volume: 128.51 Å³/f.u. The formation energy without anion corrections is -1.36 eV per atom.

=====

Record 6
YIn2Rh3 after structural relaxation. Source: the Alexandria database, functional PBE-GGA.

a b c (Å): 4.663 4.663 11.422
angles (deg): 90.00 90.00 120.00
Atoms (fractional coordinates):
Y 0.333 0.667 0.169
Y 0.667 0.333 0.831
In 0.000 0.000 0.000
In 0.000 0.000 0.500
In 0.333 0.667 0.666
In 0.667 0.333 0.334
Rh 0.000 0.000 0.260
Rh 0.000 0.000 0.740
Rh 0.333 0.667 0.423
Rh 0.333 0.667 0.916
Rh 0.667 0.333 0.084
Rh 0.667 0.333 0.577

Results
Its total magnetization is 0.000 Bohr magnetons per cell. Its space group is P-3m1 (164). As for the calculated volume: 107.51 Å³/f.u. Its uncorrected energy is -37.8 eV/f.u.

=====

Record 7
SmAl2GaIr2 after structural relaxation. Source: the Alexandria database, functional PBE-GGA.

a b c (Å): 4.550 4.550 5.559
angles (deg): 90.00 90.00 90.00
Atoms (fractional coordinates):
Sm 0.000 0.000 0.000
Al 0.000 0.500 0.500
Al 0.500 0.000 0.500
Ga 0.000 0.000 0.500
Ir 0.500 0.500 0.235
Ir 0.500 0.500 0.765

Results
Its total magnetization is 0.000 Bohr magnetons per cell. Its space group is P4/mmm (123). As for the calculated volume: 115.08 Å³/f.u. Its uncorrected energy is -33.1 eV/f.u.

=====

Record 8
CsLaO2 after structural relaxation. Source: the Alexandria database, functional PBE-GGA.

a b c (Å): 14.388 14.388 3.907
angles (deg): 90.00 90.00 166.02
Atoms (fractional coordinates):
Cs 0.079 0.921 0.750
Cs 0.921 0.079 0.250
La 0.301 0.699 0.750
La 0.699 0.301 0.250
O 0.139 0.861 0.250
O 0.219 0.781 0.750
O 0.781 0.219 0.250
O 0.861 0.139 0.750

Results
Its total magnetization is 0.000 Bohr magnetons per cell. Its space group is Cmcm (63). As for the calculated volume: 97.67 Å³/f.u. The formation energy without anion corrections is -2.34 eV per atom.

=====

Record 9
Na3Sm2PuO6 after structural relaxation. Source: the Alexandria database, functional PBE-GGA.

a b c (Å): 6.114 6.114 5.983
angles (deg): 99.81 99.81 120.00
Atoms (fractional coordinates):
Na 0.000 0.000 0.000
Na 0.335 0.665 0.000
Na 0.665 0.335 0.000
Sm 0.167 0.833 0.500
Sm 0.833 0.167 0.500
Pu 0.500 0.500 0.500
O 0.096 0.428 0.284
O 0.240 0.240 0.715
O 0.428 0.096 0.284
O 0.572 0.904 0.716
O 0.760 0.760 0.285
O 0.904 0.572 0.716

Results
Its total magnetization is 5.000 Bohr magnetons per cell. Its space group is C2/m (12). As for the calculated volume: 182.10 Å³/f.u. The formation energy without anion corrections is -2.56 eV per atom.

=====

Record 10
Rb2Cu2I7 after structural relaxation. Source: the Alexandria database, functional PBE-GGA.

a b c (Å): 9.933 9.933 6.142
angles (deg): 98.35 98.35 113.35
Atoms (fractional coordinates):
Rb 0.210 0.790 0.000
Rb 0.790 0.210 0.000
Cu 0.284 0.284 0.627
Cu 0.716 0.716 0.373
I 0.097 0.097 0.214
I 0.107 0.396 0.706
I 0.396 0.107 0.706
I 0.500 0.500 0.500
I 0.604 0.893 0.294
I 0.893 0.604 0.294
I 0.903 0.903 0.786

Results
Its total magnetization is 0.669 Bohr magnetons per cell. Its space group is C2/m (12). As for the calculated volume: 536.53 Å³/f.u. The formation energy without anion corrections is -0.53 eV per atom.

=====

Record 11
MgCd3Pd after structural relaxation. Source: the Alexandria database, functional PBE-GGA.

a b c (Å): 6.764 6.764 6.753
angles (deg): 119.94 119.94 75.82
Atoms (fractional coordinates):
Mg 0.066 0.066 0.349
Mg 0.934 0.934 0.651
Cd 0.087 0.455 0.239
Cd 0.435 0.435 0.726
Cd 0.455 0.087 0.239
Cd 0.545 0.913 0.761
Cd 0.565 0.565 0.274
Cd 0.913 0.545 0.761
Pd 0.239 0.239 0.863
Pd 0.761 0.761 0.137

Results
Its total magnetization is 0.000 Bohr magnetons per cell. Its space group is C2/m (12). The energy above the most stable polymorph in this dataset is 0 meV/atom. As for the calculated volume: 116.00 Å³/f.u.

=====

Record 12
Cs2VSeBr6 after structural relaxation. Source: the Alexandria database, functional PBE-GGA.

a b c (Å): 7.932 7.932 7.932
angles (deg): 115.08 115.08 98.75
Atoms (fractional coordinates):
Cs 0.250 0.750 0.500
Cs 0.750 0.250 0.500
V 0.000 0.000 0.000
Se 0.500 0.500 0.000
Br 0.210 0.210 0.419
Br 0.210 0.790 0.000
Br 0.254 0.254 0.000
Br 0.746 0.746 0.000
Br 0.790 0.210 0.000
Br 0.790 0.790 0.581

Results
Its total magnetization is 1.000 Bohr magnetons per cell. Its space group is I4/mmm (139). As for the calculated volume: 374.30 Å³/f.u. The formation energy without anion corrections is -0.94 eV per atom.